A plane-wave DFT calculation with PBE-GGA was carried out for an optimized crystal structure of Ru2PtBr.

Structure (POSCAR):
```
Ru2PtBr
1.0
5.823 0.003 -0.001
3.357 4.758 0.001
-4.034 -3.453 2.390
Ru Br Pt
2 1 1
Direct
0.774 0.274 0.500
0.980 0.980 0.000
0.518 0.518 0.000
0.227 0.727 0.500
```

Calculated values
- Uncorrected formation energy: 0.70 eV per atom
- Space group: Imm2
- Density of states at the Fermi level: 4.9 states/eV/cell
- Magnetic moment: 0.00 μB/cell
- Final energy: -23.47 eV per cell

***

A plane-wave DFT calculation with PBE-GGA was carried out for an optimized crystal structure of Re2IrW.

Structure (POSCAR):
```
Re2IrW
1.0
4.834 -0.006 -0.001
1.674 4.535 0.001
-3.253 -2.265 2.759
Re W Ir
2 1 1
Direct
0.000 0.000 0.000
0.500 0.500 0.000
0.750 0.250 0.500
0.250 0.750 0.500
```

Calculated values
- Space group: Fmmm
- Density of states at the Fermi level: 2.8 states/eV/cell
- Magnetic moment: 0.00 μB/cell
- Formation energy from the elements: -0.05 eV per atom
- Final energy: -46.89 eV per cell

***

A plane-wave DFT calculation with PBE-GGA was carried out for an optimized crystal structure of Ba2AlC.

Structure (POSCAR):
```
Ba2AlC
1.0
0.000 3.893 3.893
3.893 0.000 3.893
3.893 3.893 0.000
Ba C Al
2 1 1
Direct
0.750 0.750 0.750
0.250 0.250 0.250
0.000 0.000 0.000
0.500 0.500 0.500
```

Calculated values
- Space group: Fm-3m
- Density of states at the Fermi level: 4.1 states/eV/cell
- Magnetic moment: 0.00 μB/cell
- Formation energy from the elements: 0.96 eV per atom
- Final energy: -12.96 eV per cell